## NaFeSiSb (PBE)

Data for a geometry-optimized NaFeSiSb structure.

The distance to the lowest polymorph of the same formula comes out at 0 meV/atom. As for the crystal system: cubic.

POSCAR file:
```
NaFeSiSb
1.0
0.000 3.264 3.264
3.264 0.000 3.264
3.264 3.264 0.000
Fe Na Sb Si
1 1 1 1
direct
0.250 0.250 0.250 Fe
0.750 0.750 0.750 Na
0.000 0.000 0.000 Sb
0.500 0.500 0.500 Si
```

## CsHPdO3 (PBE)

Data for a geometry-optimized CsHPdO3 structure.

The total energy comes out at -0.345 Ry/atom. As for the crystal system: triclinic.

POSCAR file:
```
CsHPdO3
1.0
-3.107 -3.356 3.703
2.149 -4.401 -3.330
4.887 2.665 3.140
Cs H O Pd
2 2 6 2
direct
0.643 0.349 0.204 Cs
0.357 0.651 0.796 Cs
0.075 0.272 0.044 H
0.925 0.728 0.956 H
0.927 0.755 0.121 O
0.123 0.274 0.318 O
0.450 0.787 0.367 O
0.550 0.213 0.633 O
0.877 0.726 0.682 O
0.073 0.245 0.879 O
0.231 0.004 0.358 Pd
0.769 0.996 0.642 Pd
```

## PrScGaNi2 (PBE)

Data for a geometry-optimized PrScGaNi2 structure.

The total energy comes out at -0.407 Ry/atom. As for the crystal system: orthorhombic.

POSCAR file:
```
PrScGaNi2
1.0
-2.084 2.665 4.082
2.084 -2.665 4.082
2.084 2.665 -4.082
Ga Ni Pr Sc
1 2 1 1
direct
0.000 0.000 0.000 Ga
0.732 0.500 0.232 Ni
0.268 0.500 0.768 Ni
0.298 0.798 0.500 Pr
0.702 0.202 0.500 Sc
```

## RbAg3SnO4 (PBE)

Data for a geometry-optimized RbAg3SnO4 structure.

The total energy comes out at -0.315 Ry/atom. As for the crystal system: cubic.

POSCAR file:
```
RbAg3SnO4
1.0
-4.774 0.784 -3.152
-3.145 -2.518 4.137
-0.813 5.137 2.509
Ag O Rb Sn
3 4 1 1
direct
0.500 0.500 0.000 Ag
0.500 0.000 0.500 Ag
0.000 0.500 0.500 Ag
0.298 0.298 0.298 O
0.702 0.702 0.298 O
0.702 0.298 0.702 O
0.298 0.702 0.702 O
0.000 0.000 0.000 Rb
0.500 0.500 0.500 Sn
```

## CsBeAg (PBE)

Data for a geometry-optimized CsBeAg structure.

The distance to the lowest polymorph of the same formula comes out at 0 meV/atom. As for the crystal system: cubic.

POSCAR file:
```
CsBeAg
1.0
0.000 3.770 3.770
3.770 0.000 3.770
3.770 3.770 0.000
Ag Be Cs
1 1 1
direct
0.250 0.250 0.250 Ag
0.000 0.000 0.000 Be
0.750 0.750 0.750 Cs
```

## LiLaSbIr (PBE)

Data for a geometry-optimized LiLaSbIr structure.

The distance to the lowest polymorph of the same formula comes out at 290 meV/atom. As for the crystal system: cubic.

POSCAR file:
```
LiLaSbIr
1.0
4.503 -1.865 0.242
0.866 -4.509 -1.655
2.597 -0.645 -4.081
Ir La Li Sb
1 1 1 1
direct
0.000 0.000 0.000 Ir
0.500 0.500 0.500 La
0.750 0.750 0.750 Li
0.250 0.250 0.250 Sb
```

> What is the formula in the fourth record?

RbAg3SnO4